Below is a relaxed Nb2Co2SiPb crystal, with properties calculated at the PBE level.

Geometry as POSCAR:
```
Nb2Co2SiPb
1.0
-0.972 -10.036 -0.882
1.540 -0.481 3.780
-8.551 3.942 3.987
Co Nb Pb Si
8 8 4 4
direct
0.004 0.000 0.018 Co
0.369 0.500 0.135 Co
0.733 0.000 0.236 Co
0.135 0.500 0.369 Co
0.489 0.000 0.486 Co
0.875 0.500 0.620 Co
0.254 0.000 0.728 Co
0.638 0.500 0.890 Co
0.251 0.000 0.020 Nb
0.619 0.500 0.124 Nb
0.008 0.000 0.248 Nb
0.371 0.500 0.370 Nb
0.742 0.000 0.491 Nb
0.132 0.500 0.611 Nb
0.502 0.000 0.751 Nb
0.878 0.500 0.894 Nb
0.875 0.500 0.369 Pb
0.626 0.500 0.628 Pb
0.005 0.000 0.755 Pb
0.369 0.500 0.877 Pb
0.748 0.000 0.006 Si
0.125 0.500 0.129 Si
0.498 0.000 0.251 Si
0.255 0.000 0.494 Si
```

Its total energy is -180.17 eV per cell.

Below is a relaxed NbCoPbW crystal, with properties calculated at the PBE level.

Geometry as POSCAR:
```
NbCoPbW
1.0
1.838 1.544 3.922
-2.401 2.841 2.703
-1.616 -1.488 4.039
Co Nb Pb W
1 1 1 1
direct
0.750 0.750 0.750 Co
0.500 0.500 0.500 Nb
0.000 0.000 0.000 Pb
0.250 0.250 0.250 W
```

Its total energy is -31.44 eV per cell.

Below is a relaxed YNbCoPb crystal, with properties calculated at the PBE level.

Geometry as POSCAR:
```
YNbCoPb
1.0
0.000 3.406 3.406
3.406 0.000 3.406
3.406 3.406 0.000
Co Nb Pb Y
1 1 1 1
direct
0.750 0.750 0.750 Co
0.250 0.250 0.250 Nb
0.000 0.000 0.000 Pb
0.500 0.500 0.500 Y
```

Its total energy is -25.86 eV per cell.

Below is a relaxed NbZnCoPb crystal, with properties calculated at the PBE level.

Geometry as POSCAR:
```
NbZnCoPb
1.0
0.000 3.238 3.238
3.238 0.000 3.238
3.238 3.238 0.000
Co Nb Pb Zn
1 1 1 1
direct
0.750 0.750 0.750 Co
0.250 0.250 0.250 Nb
0.000 0.000 0.000 Pb
0.500 0.500 0.500 Zn
```

Its total energy is -20.03 eV per cell.